A plane-wave DFT calculation with GGA-PBE was carried out for a geometry-optimized TlFeReBr2 structure.

abc: 5.2657 4.6234 5.2657
angles: 90.00 90.00 90.00
Closest atoms and distances in Å follow each position.
Fractional coordinates of all 5 atoms:
Re1 0.0000 0.0000 0.0000  2 Fe 2.31
Tl1 0.5000 0.5000 0.5000  8 Br 3.50, 4 Fe 3.72
Fe1 0.0000 0.5000 0.0000  2 Re 2.31
Br1 0.0000 0.0000 0.5000  2 Re 2.63
Br2 0.5000 0.0000 0.0000  2 Re 2.63

**Formation energy without anion corrections**: 794 meV/atom
**N(E_F)**: 1.051 states/eV/atom
**SG**: P4/mmm (123)
**Final energy**: -4.53 eV/atom